# Pm3HoB2N6 PBE relaxed
# Formation energy (no corrections) in eV per formula unit: -14.18
# Total DFT energy (no corrections) in eV/cell: -96.32
# Total magnetization in μB per cell: 0.0
data_Pm3HoB2N6
_cell_length_a 5.5993
_cell_length_b 5.5993
_cell_length_c 6.2859
_cell_angle_alpha 90.00
_cell_angle_beta 90.00
_cell_angle_gamma 120.00
_symmetry_space_group_name_H-M 'P -3 m 1'
_symmetry_Int_Tables_number 164
_symmetry_space_group_name_Hall '-P 3 2"'
loop_
_atom_site_label
_atom_site_type_symbol
_atom_site_fract_x
_atom_site_fract_y
_atom_site_fract_z
_atom_site_occupancy
Pm1 Pm 0.0000 0.0000 0.0000 1
Pm2 Pm 0.3333 0.6667 0.6609 1
Ho1 Ho 0.0000 0.0000 0.5000 1
B1 B 0.3333 0.6667 0.2467 1
N1 N 0.1842 0.3685 0.2732 1